# HfFePO2 GGA+U relaxed
data_HfFePO2
_cell_length_a 3.774
_cell_length_b 3.774
_cell_length_c 4.871
_cell_angle_alpha 90.00
_cell_angle_beta 90.00
_cell_angle_gamma 90.00
_symmetry_space_group_name_H-M 'P 1'
_symmetry_Int_Tables_number 1
_symmetry_space_group_name_Hall 'P 1'
loop_
_atom_site_label
_atom_site_type_symbol
_atom_site_fract_x
_atom_site_fract_y
_atom_site_fract_z
_atom_site_occupancy
Hf1 Hf 0.000 0.000 0.000 1
Fe1 Fe 0.500 0.500 0.500 1
P1 P 0.500 0.500 0.000 1
O1 O 0.000 0.500 0.500 1
O2 O 0.500 0.000 0.500 1
# * VASP energy: -6.948 eV/atom
# * space-group type: No. 123
# * D(E_F): 0.293 states/eV per atom